Below is BaAgBSe3 after structural relaxation, with properties calculated at the PBE level.

Unit cell a=6.956 b=6.956 c=8.464 alpha=111.00 beta=111.00 gamma=60.49
Fractional positions:
Ba1 0.197 0.197 0.229
Ba2 0.803 0.803 0.771
Ag1 0.209 0.791 0.500
Ag2 0.791 0.209 0.500
B1 0.466 0.466 0.763
B2 0.534 0.534 0.237
Se1 0.195 0.679 0.180
Se2 0.288 0.288 0.665
Se3 0.321 0.805 0.820
Se4 0.679 0.195 0.180
Se5 0.712 0.712 0.335
Se6 0.805 0.321 0.820

Values from the calculation:
Energy   -26.34 eV/f.u.
Space group   C2/m (12)
Energy relative to the elements, uncorrected   -0.739 eV per atom

***

Below is BaSrAg2B after structural relaxation, with properties calculated at the PBE level.

Unit cell a=4.878 b=4.878 c=5.338 alpha=90.00 beta=90.00 gamma=90.00
Fractional positions:
Ba1 0.000 0.000 0.000
Sr1 0.500 0.500 0.000
Ag1 0.000 0.500 0.500
Ag2 0.500 0.000 0.500
B1 0.000 0.000 0.500

Values from the calculation:
Density of states at the Fermi level   3.830 states/eV/cell
Formation energy   0.44 eV per atom
Energy   -13.80 eV/f.u.
Space group   P4/mmm (123)

***

Below is BaYAgB2 after structural relaxation, with properties calculated at the PBE level.

Unit cell a=4.797 b=4.797 c=6.098 alpha=90.00 beta=90.00 gamma=90.00
Fractional positions:
Ba1 0.000 0.000 0.000
Y1 0.000 0.000 0.500
Ag1 0.500 0.500 0.500
B1 0.000 0.500 0.000
B2 0.500 0.000 0.000

Values from the calculation:
Density of states at the Fermi level   4.383 states/eV/cell
Formation energy   2.21 eV per atom
Energy   -13.53 eV/f.u.
Space group   P4/mmm (123)

***

Below is Be2AgB2 after structural relaxation, with properties calculated at the PBE level.

Unit cell a=5.519 b=5.519 c=3.120 alpha=90.00 beta=90.00 gamma=90.00
Fractional positions:
Be1 0.144 0.356 0.000
Be2 0.356 0.856 0.000
Be3 0.644 0.144 0.000
Be4 0.856 0.644 0.000
Ag1 0.000 0.000 0.500
Ag2 0.500 0.500 0.500
B1 0.106 0.606 0.500
B2 0.394 0.106 0.500
B3 0.606 0.894 0.500
B4 0.894 0.394 0.500

Values from the calculation:
Density of states at the Fermi level   2.878 states/eV/cell
Formation energy   0.47 eV per atom
Energy   -21.32 eV/f.u.
Space group   P4/mbm (127)

***

Below is Be3AgB after structural relaxation, with properties calculated at the PBE level.

Unit cell a=4.292 b=4.292 c=4.292 alpha=90.00 beta=90.00 gamma=90.00
Fractional positions:
Be1 0.000 0.000 0.500
Be2 0.000 0.500 0.000
Be3 0.500 0.000 0.000
Ag1 0.000 0.000 0.000
B1 0.500 0.500 0.500

Values from the calculation:
Density of states at the Fermi level   1.747 states/eV/cell
Formation energy   1.66 eV per atom
Energy   -12.38 eV/f.u.
Space group   Pm-3m (221)
Excess energy over the best structure of this formula in the dataset   1.3624 eV per atom

***

Below is BeAgB3 after structural relaxation, with properties calculated at the PBE level.

Unit cell a=3.760 b=3.760 c=3.760 alpha=90.00 beta=90.00 gamma=90.00
Fractional positions:
Be1 0.000 0.000 0.000
Ag1 0.500 0.500 0.500
B1 0.000 0.000 0.500
B2 0.000 0.500 0.000
B3 0.500 0.000 0.000

Values from the calculation:
Density of states at the Fermi level   2.659 states/eV/cell
Formation energy   1.59 eV per atom
Energy   -18.67 eV/f.u.
Space group   Pm-3m (221)
Excess energy over the best structure of this formula in the dataset   0.0000 eV per atom

***

Below is BeAgB3 after structural relaxation, with properties calculated at the PBE level.

Unit cell a=4.161 b=4.161 c=4.161 alpha=90.00 beta=90.00 gamma=90.00
Fractional positions:
Be1 0.000 0.000 0.000
Ag1 0.500 0.500 0.500
B1 0.000 0.500 0.500
B2 0.500 0.000 0.500
B3 0.500 0.500 0.000

Values from the calculation:
Density of states at the Fermi level   3.170 states/eV/cell
Formation energy   2.38 eV per atom
Energy   -14.70 eV/f.u.
Space group   Pm-3m (221)
Excess energy over the best structure of this formula in the dataset   0.7936 eV per atom

***

Below is Be3AgB after structural relaxation, with properties calculated at the PBE level.

Unit cell a=3.747 b=3.747 c=3.747 alpha=90.00 beta=90.00 gamma=90.00
Fractional positions:
Be1 0.000 0.000 0.500
Be2 0.000 0.500 0.000
Be3 0.500 0.000 0.000
Ag1 0.500 0.500 0.500
B1 0.000 0.000 0.000

Values from the calculation:
Density of states at the Fermi level   1.096 states/eV/cell
Formation energy   0.30 eV per atom
Energy   -19.20 eV/f.u.
Space group   Pm-3m (221)
Excess energy over the best structure of this formula in the dataset   0.0000 eV per atom